Record 1
LiCuSbS3 GGA-PBE optimized geometry; M_tot = 0.00 μB per cell; SG = No. 11; raw total energy = -50.261 eV/cell; DOS at the Fermi energy = 2.21 states/eV/f.u.; energy relative to the elements, uncorrected = -0.4360 eV/atom
1.0
3.8235 0.0000 0.0000
0.0000 7.9232 -0.1783
0.0000 -2.2734 8.4517
S Sb Li Cu
6 2 2 2
Cartesian
2.8676 0.4499 4.4393
2.8676 3.0346 1.0855
0.9559 2.6152 7.1880
2.8676 6.9729 0.9812
0.9559 -1.3230 7.2922
0.9559 5.2000 3.8341
2.8676 4.3616 6.9420
0.9559 1.2882 1.3315
0.9559 5.1869 1.2518
2.8676 0.4630 7.0216
2.8676 6.2493 3.3771
0.9559 -0.5994 4.8964

Record 2
Pr5SbSe4 GGA-PBE optimized geometry; M_tot = 0.00 μB per cell; SG = No. 71; raw total energy = -59.066 eV/cell; DOS at the Fermi energy = 4.24 states/eV/f.u.; energy relative to the elements, uncorrected = -1.7108 eV/atom
1.0
-2.7296 1.9583 2.7373
-2.2015 -5.4489 1.7030
9.9137 1.1831 5.6093
Pr Sb Se
5 1 4
Cartesian
-1.1007 -2.7245 0.8515
4.7817 -3.1685 7.0350
1.8659 -2.9484 3.9700
0.2010 0.8610 3.0146
3.1168 0.6409 6.0796
0.0000 0.0000 0.0000
3.0248 -0.2283 3.1797
5.9506 -0.4492 6.2552
-0.9679 -1.8583 3.7944
1.9578 -2.0792 6.8699

Record 3
CaIn4Pd15 GGA-PBE optimized geometry; M_tot = 0.00 μB per cell; SG = No. 123; raw total energy = -99.632 eV/cell; DFT formation energy = -439 meV per atom; DOS at the Fermi energy = 20.85 states/eV/f.u.
1.0
-3.4176 -2.1975 -0.0328
0.6301 -1.0378 3.8776
-10.4668 16.1880 6.0333
Pd In Ca
15 4 1
Cartesian
-4.9184 7.5751 4.9555
-6.9900 10.7791 6.1496
-0.7895 1.1894 2.5755
-3.5143 1.6620 3.1448
-9.0138 10.1993 4.1944
-11.0710 13.3809 5.3802
-2.8134 0.6096 0.6203
-1.3938 -1.6177 1.9224
-2.8467 4.3711 3.7613
-7.6628 8.0781 5.5360
-9.7400 11.2906 6.7334
-5.5915 4.8746 4.3421
-6.9422 6.9952 3.0003
-4.8705 3.7912 1.8061
-9.0472 13.9607 7.3354
-2.1306 3.2952 1.2281
-6.2694 9.6963 3.6139
-4.1974 6.4917 2.4195
-8.3362 12.8928 4.8052
0.0000 0.0000 0.0000